[1]
Here is crystalline Al2OsRu at its relaxed geometry from Alexandria. Energies are from PBEsol.

## Properties
**E**: -8.1455 eV/atom
**D(E_F)**: 2.95 states/eV/cell
**Formation energy**: -0.50 eV/atom

Unit cell a=4.2301 b=4.2301 c=2.9677 alpha=90.00 beta=90.00 gamma=90.00
With the nearest neighbours (Å) after each atom.
Space group P4/mmm (No. 123)
Asymmetric unit:
Al 0.0000 0.5000 0.0000  4 Ru 2.58, 4 Os 2.58
Os 0.0000 0.0000 0.5000  8 Al 2.58
Ru 0.5000 0.5000 0.5000  8 Al 2.58

=====

[2]
Here is crystalline Fe3P4O14 at its relaxed geometry from Alexandria. Energies are from PBEsol.

## Properties
**E**: -7.7482 eV/atom
**D(E_F)**: 8.74 states/eV/cell

Unit cell a=9.0013 b=12.1618 c=10.1886 alpha=90.00 beta=90.00 gamma=90.00
With the nearest neighbours (Å) after each atom.
Space group Pnma (No. 62)
Asymmetric unit:
Fe 0.2466 0.2500 0.1170  6 O 2.03-2.08
Fe 0.2493 0.5154 0.6188  6 O 1.91-2.13
P 0.0712 0.1268 0.8627  4 O 1.51-1.60
P 0.0875 0.1342 0.3817  4 O 1.49-1.61
O 0.0410 0.2500 0.8132  2 P 1.60
O 0.0785 0.5765 0.1066  1 P 1.51
O 0.0831 0.6370 0.6269  1 P 1.54
O 0.1350 0.2500 0.4456  2 P 1.61
O 0.1468 0.0450 0.4676  1 P 1.49
O 0.1528 0.0694 0.7528  1 P 1.51
O 0.1570 0.1333 0.2434  1 P 1.54
O 0.1668 0.1371 0.9882  1 P 1.55

=====

[3]
Here is crystalline GaP2H15C5N2O8 at its relaxed geometry from Alexandria. Energies are from PBEsol.

## Properties
**E**: -6.0898 eV/atom
**D(E_F)**: 0.00 states/eV/cell

Unit cell a=8.8914 b=15.2326 c=8.9381 alpha=90.00 beta=90.00 gamma=90.00
With the nearest neighbours (Å) after each atom.
Space group Pnnm (No. 58)
Asymmetric unit:
Ga 0.0000 0.0000 0.2493  4 O 1.83-1.84
P 0.1558 0.1077 0.0000  4 O 1.52-1.57
P 0.1637 0.9124 0.5000  4 O 1.50-1.56
H 0.0255 0.7048 0.3567  1 C 1.10
H 0.0467 0.7031 0.0000  1 C 1.10
H 0.0519 0.5804 0.5000  1 N 1.08
H 0.0776 0.3819 0.2648  1 C 1.10
H 0.1154 0.1881 0.5000  1 N 1.10
H 0.1392 0.4442 0.5000  1 N 1.07
H 0.1601 0.6241 0.0998  1 C 1.10
H 0.1804 0.8239 0.1363  1 C 1.11
H 0.1993 0.2898 0.0000  1 O 1.07
H 0.2176 0.2400 0.2647  1 C 1.10
C 0.0748 0.3378 0.3623  2 H 1.10
C 0.1526 0.6661 0.0000  3 H 1.10
C 0.2166 0.2831 0.3641  2 H 1.10-1.11
N 0.0599 0.3914 0.5000  2 H 1.07-1.08
N 0.2194 0.2271 0.5000  1 H 1.10
O 0.0288 0.8530 0.5000  1 H 1.43, 1 P 1.50
O 0.0507 0.0973 0.1402  1 P 1.57
O 0.1691 0.9728 0.3587  1 P 1.56
O 0.1853 0.3598 0.0000  1 H 1.07
O 0.2179 0.5392 0.5000  1 P 1.53, 2 H 1.60-1.61
O 0.2210 0.2001 0.0000  1 H 1.38, 1 P 1.52

=====

[4]
Here is crystalline CuNi2Rh at its relaxed geometry from Alexandria. Energies are from PBEsol.

## Properties
**E**: -6.1235 eV/atom
**D(E_F)**: 14.80 states/eV/cell
**Formation energy**: 0.07 eV/atom

Unit cell a=2.5606 b=2.5606 c=24.4993 alpha=90.00 beta=90.00 gamma=120.00
With the nearest neighbours (Å) after each atom.
Space group R3m (No. 160, hexagonal axes)
Asymmetric unit:
Cu 0.0000 0.0000 0.0000  3 Ni 2.48, 6 Cu 2.56, 3 Rh 2.62
Ni 0.0000 0.0000 0.4937  9 Ni 2.44-2.56, 3 Rh 2.55
Ni 0.0000 0.0000 0.7480  9 Ni 2.44-2.56, 3 Cu 2.48
Rh 0.0000 0.0000 0.2451  3 Ni 2.55, 6 Rh 2.56, 3 Cu 2.62

=====

[5]
Here is crystalline CsMgCdTe2 at its relaxed geometry from Alexandria. Energies are from PBEsol.

## Properties
**E**: -2.0839 eV/atom
**D(E_F)**: 3.86 states/eV/cell

Unit cell a=5.6194 b=5.6194 c=6.3420 alpha=90.00 beta=90.00 gamma=90.00
With the nearest neighbours (Å) after each atom.
Space group P4/mmm (No. 123)
Asymmetric unit:
Cs 0.0000 0.0000 0.0000  2 Cd 3.17
Mg 0.5000 0.5000 0.0000  4 Cs 3.97, 8 Te 4.24
Cd 0.0000 0.0000 0.5000  4 Te 2.81
Te 0.0000 0.5000 0.5000  2 Cd 2.81

=====

[6]
Here is crystalline CoIr2Pt at its relaxed geometry from Alexandria. Energies are from PBEsol.

## Properties
**E**: -8.3165 eV/atom
**D(E_F)**: 12.01 states/eV/cell
**Formation energy**: 0.27 eV/atom
**Energy above the lowest structure with this stoichiometry**: 253 meV per atom

Unit cell a=2.6561 b=4.6237 c=9.0555 alpha=90.00 beta=90.00 gamma=90.00
With the nearest neighbours (Å) after each atom.
Space group Cmmm (No. 65)
Asymmetric unit:
Co 0.0000 0.0000 0.0000  4 Ir 2.49, 6 Co 2.66-2.67
Ir 0.0000 0.5000 0.2331  2 Co 2.49, 6 Ir 2.66-2.67, 2 Pt 2.76
Pt 0.0000 0.0000 0.5000  6 Pt 2.66-2.67, 4 Ir 2.76

=====

[7]
Here is crystalline NaMnC2S at its relaxed geometry from Alexandria. Energies are from PBEsol.

## Properties
**E**: -5.6516 eV/atom
**D(E_F)**: 3.86 states/eV/cell

Unit cell a=3.6870 b=3.6870 c=5.8246 alpha=90.00 beta=90.00 gamma=90.00
With the nearest neighbours (Å) after each atom.
Space group P4/mmm (No. 123)
Asymmetric unit:
Na 0.0000 0.0000 0.0000  4 S 2.61, 2 Mn 2.91
Mn 0.0000 0.0000 0.5000  4 C 1.84
C 0.0000 0.5000 0.5000  2 Mn 1.84
S 0.5000 0.5000 0.0000  4 Na 2.61

=====

[8]
Here is crystalline Mg2AlWAu at its relaxed geometry from Alexandria. Energies are from PBEsol.

## Properties
**E**: -4.0298 eV/atom
**D(E_F)**: 2.54 states/eV/cell
**Formation energy**: 1.02 eV/atom

Unit cell a=4.8621 b=4.8621 c=4.7148 alpha=90.00 beta=90.00 gamma=90.00
With the nearest neighbours (Å) after each atom.
Space group P4/mmm (No. 123)
Asymmetric unit:
Mg 0.0000 0.5000 0.0000  2 Au 2.43
Al 0.0000 0.0000 0.5000  2 Au 2.36
W 0.5000 0.5000 0.5000  8 Mg 3.39, 4 Al 3.44
Au 0.0000 0.0000 0.0000  2 Al 2.36, 4 Mg 2.43

=====

> Among the records above, which one has the highest D(E_F)?

CuNi2Rh